Entry from Alexandria: a geometry-optimized YMg6Cd2 structure (PBE).

a = 5.0334 Å, b = 5.0334 Å, c = 9.5298 Å
α = 90.00°, β = 90.00°, γ = 120.00°
Element x y z (fractional)
Y 0.0000 0.0000 0.0000
Mg 0.0000 0.0000 0.3398
Mg 0.0000 0.0000 0.6602
Mg 0.3333 0.6667 0.4627
Mg 0.3333 0.6667 0.8049
Mg 0.6667 0.3333 0.1951
Mg 0.6667 0.3333 0.5373
Cd 0.3333 0.6667 0.1510
Cd 0.6667 0.3333 0.8490

Output
* offset from the most stable computed form: 0 kJ/mol of formula units
* formation enthalpy at 0 K: -0.124 eV/atom
* M_tot: 0.00 μB/cell



Entry from Alexandria: a geometry-optimized AcGaCuSn structure (PBE).

a = 5.1479 Å, b = 5.1479 Å, c = 5.1479 Å
α = 60.00°, β = 60.00°, γ = 60.00°
Element x y z (fractional)
Ac 0.0000 0.0000 0.0000
Ga 0.2500 0.2500 0.2500
Cu 0.7500 0.7500 0.7500
Sn 0.5000 0.5000 0.5000

Output
* formation enthalpy at 0 K: -0.248 eV/atom
* M_tot: 0.00 μB/cell